(1)
Material: NbIrRh2C
Method: DFT, GGA-PBE
State: optimized geometry

Cell and atoms, written as CIF:
```
data_NbIrRh2C
_cell_length_a 4.1549
_cell_length_b 4.1549
_cell_length_c 4.0309
_cell_angle_alpha 90.00
_cell_angle_beta 90.00
_cell_angle_gamma 90.00
_symmetry_space_group_name_H-M 'P 4/m m m'
_symmetry_Int_Tables_number 123
_symmetry_space_group_name_Hall '-P 4 2'
loop_
_atom_site_label
_atom_site_fract_x
_atom_site_fract_y
_atom_site_fract_z
_atom_site_occupancy
Nb1 0.0000 0.0000 0.0000 1
Ir1 0.5000 0.5000 0.0000 1
Rh1 0.0000 0.5000 0.5000 1
C1 0.5000 0.5000 0.5000 1
```

## Properties
Calculated density: 12.00 Mg/m³
E_form: 0.76 eV/f.u.
Density of states at the Fermi level: 1.45 states/eV per atom



(2)
Material: NbSbIr2C
Method: DFT, GGA-PBE
State: optimized geometry

Cell and atoms, written as CIF:
```
data_NbSbIr2C
_cell_length_a 4.1125
_cell_length_b 4.1125
_cell_length_c 4.5092
_cell_angle_alpha 90.00
_cell_angle_beta 90.00
_cell_angle_gamma 90.00
_symmetry_space_group_name_H-M 'P 4/m m m'
_symmetry_Int_Tables_number 123
_symmetry_space_group_name_Hall '-P 4 2'
loop_
_atom_site_label
_atom_site_fract_x
_atom_site_fract_y
_atom_site_fract_z
_atom_site_occupancy
Nb1 0.0000 0.0000 0.0000 1
Sb1 0.5000 0.5000 0.0000 1
Ir1 0.0000 0.5000 0.5000 1
C1 0.0000 0.0000 0.5000 1
```

## Properties
Calculated density: 13.31 Mg/m³
Density of states at the Fermi level: 0.37 states/eV per atom
Formation energy without anion corrections: 0.1280 eV/atom



(3)
Material: ScNbIrC2
Method: DFT, GGA-PBE
State: optimized geometry

Cell and atoms, written as CIF:
```
data_ScNbIrC2
_cell_length_a 4.0392
_cell_length_b 4.0392
_cell_length_c 5.2136
_cell_angle_alpha 90.00
_cell_angle_beta 90.00
_cell_angle_gamma 90.00
_symmetry_space_group_name_H-M 'P 4/m m m'
_symmetry_Int_Tables_number 123
_symmetry_space_group_name_Hall '-P 4 2'
loop_
_atom_site_label
_atom_site_fract_x
_atom_site_fract_y
_atom_site_fract_z
_atom_site_occupancy
Sc1 0.0000 0.0000 0.0000 1
Nb1 0.0000 0.0000 0.5000 1
Ir1 0.5000 0.5000 0.5000 1
C1 0.0000 0.5000 0.0000 1
```

## Properties
Calculated density: 6.91 Mg/m³
E_form: 12.17 eV/f.u.
Density of states at the Fermi level: 1.18 states/eV per atom



(4)
Material: ScNbIr2C
Method: DFT, GGA-PBE
State: optimized geometry

Cell and atoms, written as CIF:
```
data_ScNbIr2C
_cell_length_a 4.1182
_cell_length_b 4.1182
_cell_length_c 4.3585
_cell_angle_alpha 90.00
_cell_angle_beta 90.00
_cell_angle_gamma 90.00
_symmetry_space_group_name_H-M 'P 4/m m m'
_symmetry_Int_Tables_number 123
_symmetry_space_group_name_Hall '-P 4 2'
loop_
_atom_site_label
_atom_site_fract_x
_atom_site_fract_y
_atom_site_fract_z
_atom_site_occupancy
Sc1 0.0000 0.0000 0.0000 1
Nb1 0.5000 0.5000 0.0000 1
Ir1 0.0000 0.5000 0.5000 1
C1 0.5000 0.5000 0.5000 1
```

## Properties
Calculated density: 12.00 Mg/m³
E_form: -1.23 eV/f.u.
Density of states at the Fermi level: 0.89 states/eV per atom



(5)
Material: NbSiIrC2
Method: DFT, GGA-PBE
State: optimized geometry

Cell and atoms, written as CIF:
```
data_NbSiIrC2
_cell_length_a 3.7046
_cell_length_b 3.7046
_cell_length_c 5.1991
_cell_angle_alpha 90.00
_cell_angle_beta 90.00
_cell_angle_gamma 90.00
_symmetry_space_group_name_H-M 'P 4/m m m'
_symmetry_Int_Tables_number 123
_symmetry_space_group_name_Hall '-P 4 2'
loop_
_atom_site_label
_atom_site_fract_x
_atom_site_fract_y
_atom_site_fract_z
_atom_site_occupancy
Nb1 0.0000 0.0000 0.0000 1
Si1 0.0000 0.0000 0.5000 1
Ir1 0.5000 0.5000 0.0000 1
C1 0.0000 0.5000 0.5000 1
```

## Properties
Calculated density: 7.85 Mg/m³
Density of states at the Fermi level: 0.77 states/eV per atom
Formation energy without anion corrections: 1.7518 eV/atom



(6)
Material: Ti2NbIrC
Method: DFT, GGA-PBE
State: optimized geometry

Cell and atoms, written as CIF:
```
data_Ti2NbIrC
_cell_length_a 4.1246
_cell_length_b 4.1246
_cell_length_c 4.2903
_cell_angle_alpha 90.00
_cell_angle_beta 90.00
_cell_angle_gamma 90.00
_symmetry_space_group_name_H-M 'P 4/m m m'
_symmetry_Int_Tables_number 123
_symmetry_space_group_name_Hall '-P 4 2'
loop_
_atom_site_label
_atom_site_fract_x
_atom_site_fract_y
_atom_site_fract_z
_atom_site_occupancy
Ti1 0.0000 0.5000 0.0000 1
Nb1 0.0000 0.0000 0.5000 1
Ir1 0.5000 0.5000 0.5000 1
C1 0.0000 0.0000 0.0000 1
```

## Properties
Calculated density: 8.94 Mg/m³
E_form: -2.50 eV/f.u.
Density of states at the Fermi level: 1.17 states/eV per atom



(7)
Material: YNbIrC2
Method: DFT, GGA-PBE
State: optimized geometry

Cell and atoms, written as CIF:
```
data_YNbIrC2
_cell_length_a 4.0857
_cell_length_b 4.0857
_cell_length_c 6.2560
_cell_angle_alpha 90.00
_cell_angle_beta 90.00
_cell_angle_gamma 90.00
_symmetry_space_group_name_H-M 'P 4/m m m'
_symmetry_Int_Tables_number 123
_symmetry_space_group_name_Hall '-P 4 2'
loop_
_atom_site_label
_atom_site_fract_x
_atom_site_fract_y
_atom_site_fract_z
_atom_site_occupancy
Y1 0.0000 0.0000 0.0000 1
Nb1 0.0000 0.0000 0.5000 1
Ir1 0.5000 0.5000 0.0000 1
C1 0.0000 0.5000 0.5000 1
```

## Properties
Calculated density: 6.33 Mg/m³
E_form: 8.69 eV/f.u.
Density of states at the Fermi level: 0.67 states/eV per atom



(8)
Material: NbZnIr2C
Method: DFT, GGA-PBE
State: optimized geometry

Cell and atoms, written as CIF:
```
data_NbZnIr2C
_cell_length_a 4.0695
_cell_length_b 4.0695
_cell_length_c 4.2887
_cell_angle_alpha 90.00
_cell_angle_beta 90.00
_cell_angle_gamma 90.00
_symmetry_space_group_name_H-M 'P 4/m m m'
_symmetry_Int_Tables_number 123
_symmetry_space_group_name_Hall '-P 4 2'
loop_
_atom_site_label
_atom_site_fract_x
_atom_site_fract_y
_atom_site_fract_z
_atom_site_occupancy
Nb1 0.0000 0.0000 0.0000 1
Zn1 0.5000 0.5000 0.0000 1
Ir1 0.0000 0.5000 0.5000 1
C1 0.0000 0.0000 0.5000 1
```

## Properties
Calculated density: 12.97 Mg/m³
E_form: 0.49 eV/f.u.
Density of states at the Fermi level: 0.74 states/eV per atom



(9)
Material: Nd6Ir2C
Method: DFT, GGA-PBE
State: optimized geometry

Cell and atoms, written as CIF:
```
data_Nd6Ir2C
_cell_length_a 6.7279
_cell_length_b 7.3783
_cell_length_c 11.6565
_cell_angle_alpha 90.00
_cell_angle_beta 122.70
_cell_angle_gamma 90.00
_symmetry_space_group_name_H-M 'P 1 21/c 1'
_symmetry_Int_Tables_number 14
loop_
_symmetry_equiv_pos_as_xyz
'x,y,z'
'-x,-y,-z'
'-x,y+1/2,-z+1/2'
'x,-y+1/2,z+1/2'
loop_
_atom_site_label
_atom_site_fract_x
_atom_site_fract_y
_atom_site_fract_z
_atom_site_occupancy
Nd1 0.1125 0.0458 0.2426 1
Nd2 0.2394 0.6929 0.0672 1
Nd3 0.3710 0.1710 0.0592 1
Ir1 0.3035 0.1011 0.7601 1
C1 0.0000 0.0000 0.0000 1
```

## Properties
Calculated density: 8.61 Mg/m³
E_form: -3.52 eV/f.u.
Density of states at the Fermi level: 0.95 states/eV per atom



(10)
Material: NiIrC2
Method: DFT, GGA-PBE
State: optimized geometry

Cell and atoms, written as CIF:
```
data_NiIrC2
_cell_length_a 2.7534
_cell_length_b 4.2064
_cell_length_c 3.7568
_cell_angle_alpha 90.00
_cell_angle_beta 90.00
_cell_angle_gamma 90.00
_symmetry_space_group_name_H-M 'P m m 2'
_symmetry_Int_Tables_number 25
loop_
_symmetry_equiv_pos_as_xyz
'x,y,z'
'-x,-y,z'
'-x,y,z'
'x,-y,z'
loop_
_atom_site_label
_atom_site_fract_x
_atom_site_fract_y
_atom_site_fract_z
_atom_site_occupancy
Ni1 0.0000 0.0000 0.0000 1
Ir1 0.5000 0.5000 0.6419 1
C1 0.0000 0.1677 0.4878 1
```

## Properties
Calculated density: 10.49 Mg/m³
E_form: 2.67 eV/f.u.
Density of states at the Fermi level: 0.38 states/eV per atom
Offset from the most stable computed form: 130 meV per atom



(11)
Material: Ni2Ir2C
Method: DFT, GGA-PBE
State: optimized geometry

Cell and atoms, written as CIF:
```
data_Ni2Ir2C
_cell_length_a 3.0625
_cell_length_b 3.0625
_cell_length_c 13.1409
_cell_angle_alpha 90.00
_cell_angle_beta 90.00
_cell_angle_gamma 90.00
_symmetry_space_group_name_H-M 'I 4/m m m'
_symmetry_Int_Tables_number 139
_symmetry_space_group_name_Hall '-I 4 2'
loop_
_atom_site_label
_atom_site_fract_x
_atom_site_fract_y
_atom_site_fract_z
_atom_site_occupancy
Ni1 0.0000 0.5000 0.2500 1
Ir1 0.0000 0.0000 0.0955 1
C1 0.0000 0.0000 0.5000 1
```

## Properties
Calculated density: 13.85 Mg/m³
E_form: 6.19 eV/f.u.
Density of states at the Fermi level: 1.43 states/eV per atom
Offset from the most stable computed form: 810 meV per atom



(12)
Material: NiIrC2
Method: DFT, GGA-PBE
State: optimized geometry

Cell and atoms, written as CIF:
```
data_NiIrC2
_cell_length_a 8.3005
_cell_length_b 2.7062
_cell_length_c 3.9862
_cell_angle_alpha 90.00
_cell_angle_beta 106.30
_cell_angle_gamma 90.00
_symmetry_space_group_name_H-M 'C 1 m 1'
_symmetry_Int_Tables_number 8
loop_
_symmetry_equiv_pos_as_xyz
'x,y,z'
'x,-y,z'
'x+1/2,y+1/2,z'
'x+1/2,-y+1/2,z'
loop_
_atom_site_label
_atom_site_fract_x
_atom_site_fract_y
_atom_site_fract_z
_atom_site_occupancy
Ni1 0.0000 0.0000 0.0000 1
Ir1 0.3044 0.0000 0.4188 1
C1 0.1753 0.5000 0.0127 1
C2 0.2631 0.5000 0.7587 1
```

## Properties
Calculated density: 10.62 Mg/m³
E_form: 2.31 eV/f.u.
Density of states at the Fermi level: 0.33 states/eV per atom
Offset from the most stable computed form: 39 meV per atom